Entry 1:
Here is Cr2MoP after structural relaxation from Alexandria. Energies are from PBE.

## Properties
E_tot: -34.78 eV per cell
Theoretical density: 7.27 g/cm³
Calculated formation energy: 0.1765 eV/atom

Cell and atoms, written as extended XYZ:
```
4
Lattice="7.751 -0.091 -0.053 7.266 2.702 -0.053 7.266 1.263 2.389" Properties=species:S:1:pos:R:3 pbc="T T T"
Cr 0.168 0.029 0.017
Cr 10.973 1.908 1.124
Mo 5.571 0.969 0.571
P 16.712 2.906 1.712
```



Entry 2:
Here is PaGe2SbO8 after structural relaxation from Alexandria. Energies are from PBE.

## Properties
E_tot: -87.52 eV per cell
Formation energy from raw total energies: -2.083 eV per atom
Theoretical density: 6.33 g/cm³

Cell and atoms, written as extended XYZ:
```
12
Lattice="5.984 0.112 0.000 -2.553 5.413 0.000 -1.715 -2.762 5.024" Properties=species:S:1:pos:R:3 pbc="T T T"
Pa -1.277 2.706 2.512
Ge 2.992 0.056 2.512
Ge 1.715 2.762 0.000
Sb 0.000 0.000 0.000
O 1.571 -0.516 1.607
O 0.298 2.291 0.955
O 0.206 -1.480 4.069
O 3.110 -1.471 3.418
O 3.133 3.234 0.955
O 4.413 0.628 1.607
O 2.874 1.583 3.418
O -0.206 1.480 4.069
```



Entry 3:
Here is Ba2MoOs after structural relaxation from Alexandria. Energies are from PBE.

## Properties
E_tot: -23.35 eV per cell
Theoretical density: 7.38 g/cm³
Relative energy among the computed polymorphs: 1.161 eV/f.u.
Calculated formation energy: 0.6397 eV/atom

Cell and atoms, written as extended XYZ:
```
4
Lattice="6.731 0.060 -0.011 3.238 5.902 0.011 -4.375 -4.000 3.189" Properties=species:S:1:pos:R:3 pbc="T T T"
Ba 9.779 5.848 0.000
Ba 2.061 2.523 1.600
Mo 5.676 3.394 0.000
Os 3.033 -0.860 1.589
```



Entry 4:
Here is ZnH2Pd4 after structural relaxation from Alexandria. Energies are from PBE.

## Properties
E_tot: -59.59 eV per cell
Theoretical density: 9.66 g/cm³
Relative energy among the computed polymorphs: 0.430 eV/f.u.

Cell and atoms, written as extended XYZ:
```
14
Lattice="5.076 -0.209 0.372 -0.543 5.335 -0.015 -1.709 -2.629 6.152" Properties=species:S:1:pos:R:3 pbc="T T T"
Zn -0.068 2.384 3.299
Zn -1.298 -2.470 5.793
H 1.278 0.416 5.712
H 2.622 4.023 1.899
H 2.303 0.976 2.478
H 3.516 -0.915 4.902
Pd 4.014 0.405 2.087
Pd 1.469 1.991 1.229
Pd 2.755 0.614 4.528
Pd 2.531 3.188 3.648
Pd 1.403 -0.648 2.066
Pd 0.210 -0.599 4.584
Pd 0.636 2.171 5.748
Pd 4.024 3.025 1.135
```



Entry 5:
Here is Mg2InCo after structural relaxation from Alexandria. Energies are from PBE.

## Properties
E_tot: -12.69 eV per cell
Theoretical density: 5.31 g/cm³
Calculated formation energy: 0.0859 eV/atom

Cell and atoms, written as extended XYZ:
```
4
Lattice="-2.109 -1.003 -3.983 -0.324 -4.388 -1.399 -4.093 -2.137 0.029" Properties=species:S:1:pos:R:3 pbc="T T T"
Co -3.263 -3.764 -2.677
In -4.894 -5.646 -4.015
Mg 0.000 0.000 0.000
Mg -1.631 -1.882 -1.338
```



Entry 6:
Here is YTl2Cl after structural relaxation from Alexandria. Energies are from PBE.

## Properties
E_tot: -14.86 eV per cell
Formation energy from raw total energies: -0.454 eV per atom
Theoretical density: 8.02 g/cm³
Relative energy among the computed polymorphs: 1.164 eV/f.u.

Cell and atoms, written as extended XYZ:
```
4
Lattice="3.691 0.000 0.000 0.000 5.468 0.000 0.000 0.000 5.468" Properties=species:S:1:pos:R:3 pbc="T T T"
Cl 1.846 0.000 2.734
Tl 0.000 0.000 0.000
Tl 0.000 2.734 2.734
Y 1.846 2.734 0.000
```



no.,size of the total moment (μB/f.u.),calculated volume (Å³/cell)
1,0.0,52.7
2,0.0,164.2
3,0.0,126.2
4,0.0,169.6
5,0.4,69.6
6,0.0,110.4